{
  "formula": "La6NdDy2",
  "functional": "GGA-PBE",
  "state": "relaxed",
  "lattice_angstrom": [[3.676, 0.000, 0.000], [-1.838, 3.183, 0.000], [0.000, 0.000, 27.687]],
  "species": ["La", "La", "La", "La", "La", "La", "Nd", "Dy", "Dy"],
  "fractional_positions": [[0.667, 0.333, 0.890], [0.333, 0.667, 0.434], [0.333, 0.667, 0.776], [0.333, 0.667, 0.224], [0.333, 0.667, 0.566], [0.667, 0.333, 0.110], [0.333, 0.667, 0.000], [0.667, 0.333, 0.331], [0.667, 0.333, 0.669]],
  "e_above_lowest_polymorph_mev_per_atom": 0,
  "sg": "P-6m2",
  "dos_ef_per_ev_cell": 17.2,
  "energy_ev_per_cell": -43.03,
  "mass_density_g_cm3": 6.68,
  "delta_e_f_mev_per_atom": 56.2
}

=====

{
  "formula": "K2UHgS4",
  "functional": "GGA-PBE",
  "state": "relaxed",
  "lattice_angstrom": [[-3.142, -5.667, 2.665], [1.610, -0.272, -6.813], [6.477, 1.325, 2.321]],
  "species": ["K", "K", "U", "Hg", "S", "S", "S", "S"],
  "fractional_positions": [[0.500, 0.750, 0.250], [0.000, 0.000, 0.000], [0.500, 0.250, 0.750], [0.000, 0.500, 0.500], [0.558, 0.371, 0.436], [0.065, 0.187, 0.629], [0.935, 0.564, 0.122], [0.442, 0.878, 0.813]],
  "raw_formation_energy_ev_per_atom": -0.885,
  "sg": "I-4",
  "dos_ef_per_ev_cell": 10.5,
  "energy_ev_per_cell": -37.38,
  "mass_density_g_cm3": 4.20
}

=====

Repeat the first record exactly.
{
  "formula": "La6NdDy2",
  "functional": "GGA-PBE",
  "state": "relaxed",
  "lattice_angstrom": [[3.676, 0.000, 0.000], [-1.838, 3.183, 0.000], [0.000, 0.000, 27.687]],
  "species": ["La", "La", "La", "La", "La", "La", "Nd", "Dy", "Dy"],
  "fractional_positions": [[0.667, 0.333, 0.890], [0.333, 0.667, 0.434], [0.333, 0.667, 0.776], [0.333, 0.667, 0.224], [0.333, 0.667, 0.566], [0.667, 0.333, 0.110], [0.333, 0.667, 0.000], [0.667, 0.333, 0.331], [0.667, 0.333, 0.669]],
  "e_above_lowest_polymorph_mev_per_atom": 0,
  "sg": "P-6m2",
  "dos_ef_per_ev_cell": 17.2,
  "energy_ev_per_cell": -43.03,
  "mass_density_g_cm3": 6.68,
  "delta_e_f_mev_per_atom": 56.2
}

=====

Copy entry 2 word for word.
{
  "formula": "K2UHgS4",
  "functional": "GGA-PBE",
  "state": "relaxed",
  "lattice_angstrom": [[-3.142, -5.667, 2.665], [1.610, -0.272, -6.813], [6.477, 1.325, 2.321]],
  "species": ["K", "K", "U", "Hg", "S", "S", "S", "S"],
  "fractional_positions": [[0.500, 0.750, 0.250], [0.000, 0.000, 0.000], [0.500, 0.250, 0.750], [0.000, 0.500, 0.500], [0.558, 0.371, 0.436], [0.065, 0.187, 0.629], [0.935, 0.564, 0.122], [0.442, 0.878, 0.813]],
  "raw_formation_energy_ev_per_atom": -0.885,
  "sg": "I-4",
  "dos_ef_per_ev_cell": 10.5,
  "energy_ev_per_cell": -37.38,
  "mass_density_g_cm3": 4.20
}

=====

Q: What is the formula in the second record?
A: K2UHgS4